The following is a DFT calculation (PBE-GGA) of an optimized crystal structure of Cs3RbAs2Pd2.

a = 6.7670 Å, b = 6.1301 Å, c = 6.8321 Å
α = 90.00°, β = 106.92°, γ = 90.00°
Last column: nearest neighbours and their distance in Å.
Space group Pm (No. 6)
Inequivalent atoms, fractional coordinates:
1 Cs 0.0000 0.0000 0.0000  4 As 3.64-3.86, 3 Cs 3.75-3.93, 4 Pd 3.79-3.98, 2 Rb 3.85
2 Cs 0.2972 0.5000 0.3092  4 As 3.69-3.80, 1 Rb 3.71, 4 Pd 3.73-4.06, 4 Cs 3.88-3.93
3 Cs 0.6574 0.0000 0.3444  4 As 3.67-3.80, 2 Pd 3.71, 3 Cs 3.75-3.88, 2 Rb 3.93
4 Rb 0.9588 0.5000 0.6506  4 As 3.61-3.90, 2 Pd 3.62, 5 Cs 3.71-3.93
5 As 0.2384 0.0000 0.5865  2 Pd 2.46
6 As 0.7175 0.5000 0.0581  2 Pd 2.46
7 Pd 0.4662 0.2530 0.8301  2 As 2.46

Computed properties:
**Final energy**: -3.235 eV per atom

---

The following is a DFT calculation (PBE-GGA) of an optimized crystal structure of CsRbPr2As2.

a = 5.3078 Å, b = 5.3078 Å, c = 8.4162 Å
α = 90.00°, β = 90.00°, γ = 90.00°
Last column: nearest neighbours and their distance in Å.
Space group P4mm (No. 99)
Inequivalent atoms, fractional coordinates:
1 Cs 0.0000 0.0000 0.0000  5 As 3.75-4.13, 4 Pr 4.18
2 Rb 0.5000 0.5000 0.7576  5 As 3.76-4.12, 4 Pr 4.12
3 Pr 0.0000 0.5000 0.3833  4 As 3.02-3.05
4 As 0.0000 0.0000 0.5545  4 Pr 3.02
5 As 0.5000 0.5000 0.2049  4 Pr 3.05

Computed properties:
**Final energy**: -4.146 eV per atom
**Magnetic moment**: 0.00 μB per atom

---

The following is a DFT calculation (PBE-GGA) of an optimized crystal structure of CsPrTe3As.

a = 4.8196 Å, b = 15.8171 Å, c = 12.8976 Å
α = 90.00°, β = 90.00°, γ = 90.00°
Last column: nearest neighbours and their distance in Å.
Space group Cmcm (No. 63)
Inequivalent atoms, fractional coordinates:
1 Cs 0.0000 0.2408 0.2500  2 As 3.91, 8 Te 4.11-4.22
2 Pr 0.0000 0.5000 0.0000  6 Te 3.22-3.24
3 Te 0.0000 0.1315 0.5387  1 As 2.92, 2 Pr 3.22
4 Te 0.0000 0.4782 0.7500  2 As 2.77
5 As 0.0000 0.0643 0.7500  4 Te 2.77-2.92

Computed properties:
**Final energy**: -4.095 eV per atom
**Magnetic moment**: 0.00 μB per atom

---

The following is a DFT calculation (PBE-GGA) of an optimized crystal structure of Cs2As2Pt3.

a = 4.4365 Å, b = 4.4365 Å, c = 33.4392 Å
α = 90.00°, β = 90.00°, γ = 120.00°
Last column: nearest neighbours and their distance in Å.
Space group R3m (No. 160, hexagonal axes)
Inequivalent atoms, fractional coordinates:
1 Cs 0.0000 0.0000 0.0000  3 As 3.41, 4 Pt 3.67-3.77
2 Cs 0.0000 0.0000 0.4272  1 Pt 3.18
3 As 0.0000 0.0000 0.1741  4 Pt 2.61-2.69
4 As 0.0000 0.0000 0.5992  4 Pt 2.57-2.59
5 Pt 0.0000 0.0000 0.2546  4 As 2.59-2.69, 3 Pt 2.80
6 Pt 0.0000 0.0000 0.5222  4 As 2.57-2.61, 3 Pt 2.77
7 Pt 0.0000 0.0000 0.8874  6 Pt 2.77-2.80, 6 As 2.97-3.00

Computed properties:
**Final energy**: -4.333 eV per atom
**Magnetic moment**: 0.01 μB per atom

---

The following is a DFT calculation (PBE-GGA) of an optimized crystal structure of CsAs5Pt3.

a = 5.8110 Å, b = 5.8110 Å, c = 7.8391 Å
α = 90.00°, β = 90.00°, γ = 120.00°
Last column: nearest neighbours and their distance in Å.
Space group P6/mmm (No. 191)
Inequivalent atoms, fractional coordinates:
1 Cs 0.0000 0.0000 0.0000  14 As 3.92
2 As 0.0000 0.0000 0.5000  6 Pt 2.91
3 As 0.3333 0.6667 0.2581  3 Pt 2.53
4 Pt 0.0000 0.5000 0.5000  4 As 2.53

Computed properties:
**Final energy**: -4.828 eV per atom
**Magnetic moment**: 0.06 μB per atom

---

The following is a DFT calculation (PBE-GGA) of an optimized crystal structure of CsRe3As5.

a = 5.5004 Å, b = 5.5004 Å, c = 8.6566 Å
α = 90.00°, β = 90.00°, γ = 120.00°
Last column: nearest neighbours and their distance in Å.
Space group P6/mmm (No. 191)
Inequivalent atoms, fractional coordinates:
1 Cs 0.0000 0.0000 0.0000  14 As 3.92-4.33
2 Re 0.0000 0.5000 0.5000  6 As 2.58-2.75, 4 Re 2.75
3 As 0.0000 0.0000 0.5000  6 Re 2.75
4 As 0.3333 0.6667 0.2648  3 Re 2.58

Computed properties:
**Final energy**: -6.642 eV per atom
**Magnetic moment**: 0.26 μB per atom

---

The following is a DFT calculation (PBE-GGA) of an optimized crystal structure of CsTmAs2S7.

a = 9.2511 Å, b = 10.3444 Å, c = 7.0103 Å
α = 90.00°, β = 99.10°, γ = 90.00°
Last column: nearest neighbours and their distance in Å.
Space group C2 (No. 5)
Inequivalent atoms, fractional coordinates:
1 Cs 0.0000 0.0000 0.0000  8 S 3.69-3.99
2 Tm 0.0000 0.5971 0.5000  6 S 2.71-2.73
3 As 0.1960 0.2457 0.5907  4 S 2.16-2.30
4 S 0.0000 0.1100 0.5000  2 As 2.30
5 S 0.1286 0.4108 0.7458  1 As 2.17
6 S 0.1610 0.6228 0.2110  1 As 2.17
7 S 0.2013 0.7732 0.6630  1 As 2.16

Computed properties:
**Final energy**: -4.658 eV per atom
**Magnetic moment**: 0.00 μB per atom

---

The following is a DFT calculation (PBE-GGA) of an optimized crystal structure of Cs2TaAsSe6.

a = 10.5407 Å, b = 10.5407 Å, c = 10.5407 Å
α = 90.00°, β = 90.00°, γ = 90.00°
Last column: nearest neighbours and their distance in Å.
Space group Fm-3m (No. 225)
Inequivalent atoms, fractional coordinates:
1 Cs 0.2500 0.2500 0.2500  12 Se 3.73
2 Ta 0.0000 0.0000 0.0000  6 Se 2.58
3 As 0.0000 0.0000 0.5000  6 Se 2.70
4 Se 0.0000 0.0000 0.2443  1 Ta 2.58, 1 As 2.70

Computed properties:
**Final energy**: -4.393 eV per atom
**Magnetic moment**: 0.00 μB per atom

---

The following is a DFT calculation (PBE-GGA) of an optimized crystal structure of CsTbAsSe3.

a = 4.3907 Å, b = 15.5537 Å, c = 11.7542 Å
α = 90.00°, β = 90.00°, γ = 90.00°
Last column: nearest neighbours and their distance in Å.
Space group Cmcm (No. 63)
Inequivalent atoms, fractional coordinates:
1 Cs 0.0000 0.2287 0.2500  2 Se 3.64, 2 As 3.72
2 Tb 0.0000 0.5000 0.0000  6 Se 2.90-2.94
3 As 0.0000 0.0780 0.7500  4 Se 2.55-2.73
4 Se 0.0000 0.1204 0.5248  1 As 2.73, 2 Tb 2.90
5 Se 0.0000 0.4946 0.7500  2 As 2.55

Computed properties:
**Final energy**: -4.482 eV per atom
**Magnetic moment**: 0.00 μB per atom

---

The following is a DFT calculation (PBE-GGA) of an optimized crystal structure of CsSmAs.

a = 7.5916 Å, b = 7.5916 Å, c = 7.5916 Å
α = 90.00°, β = 90.00°, γ = 90.00°
Last column: nearest neighbours and their distance in Å.
Space group F-43m (No. 216)
Inequivalent atoms, fractional coordinates:
1 Cs 0.0000 0.0000 0.0000  4 As 3.29
2 Sm 0.0000 0.0000 0.5000  4 As 3.29
3 As 0.2500 0.2500 0.2500  4 Sm 3.29, 4 Cs 3.29

Computed properties:
**Final energy**: -3.519 eV per atom
**Magnetic moment**: 0.33 μB per atom

---

The following is a DFT calculation (PBE-GGA) of an optimized crystal structure of CsSmTe3As.

a = 4.7376 Å, b = 16.0670 Å, c = 12.7476 Å
α = 90.00°, β = 90.00°, γ = 90.00°
Last column: nearest neighbours and their distance in Å.
Space group Cmcm (No. 63)
Inequivalent atoms, fractional coordinates:
1 Cs 0.0000 0.2383 0.2500  2 As 3.85, 6 Te 4.00-4.24
2 Sm 0.0000 0.5000 0.0000  6 Te 3.17-3.19
3 Te 0.0000 0.1285 0.5313  1 As 2.93, 2 Sm 3.17
4 Te 0.0000 0.4863 0.7500  2 As 2.75
5 As 0.0000 0.0727 0.7500  4 Te 2.75-2.93

Computed properties:
**Final energy**: -4.079 eV per atom
**Magnetic moment**: 0.00 μB per atom

---

The following is a DFT calculation (PBE-GGA) of an optimized crystal structure of Cs7TaAs4.

a = 11.2131 Å, b = 10.0817 Å, c = 9.0426 Å
α = 90.00°, β = 90.00°, γ = 90.00°
Last column: nearest neighbours and their distance in Å.
Space group Pmn2_1 (No. 31)
Inequivalent atoms, fractional coordinates:
1 Cs 0.0000 0.0272 0.0025  3 As 3.66-3.75, 5 Cs 3.73-4.09, 1 Ta 3.73
2 Cs 0.0000 0.3424 0.7864  4 As 3.48-3.84, 1 Cs 3.73
3 Cs 0.0000 0.8909 0.5156  3 As 3.60-3.62
4 Cs 0.2093 0.5344 0.5000  4 As 3.72-3.99, 3 Cs 3.97-3.99, 1 Ta 4.02
5 Cs 0.2141 0.1712 0.3306  3 As 3.53-3.76
6 Ta 0.0000 0.6722 0.1205  4 As 2.52-2.55
7 As 0.0000 0.4304 0.1939  1 Ta 2.53
8 As 0.0000 0.6837 0.8421  1 Ta 2.52
9 As 0.1860 0.7940 0.2094  1 Ta 2.55

Computed properties:
**Final energy**: -3.466 eV per atom
**Magnetic moment**: 0.00 μB per atom